Record 1
Density functional theory data (SCAN) for a PBEsol-optimized structure of Co4ReTe.

abc: 6.647 6.647 6.647
angles: 90.00 90.00 90.00
Space group F-43m (No. 216)
Asymmetric unit:
Co1 0.124 0.124 0.376 (multiplicity 16)
Re1 0.250 0.250 0.750 (multiplicity 4)
Te1 0.000 0.000 0.000 (multiplicity 4)

- Raw formation energy: 3.36 eV per formula unit
- Calculated total energy: -174.209 eV per formula unit
- Total moment: 1.37 μB per atom

Record 2
Density functional theory data (SCAN) for a PBEsol-optimized structure of CoReTe.

abc: 3.185 3.185 8.982
angles: 90.00 90.00 90.00
Space group I4mm (No. 107)
Asymmetric unit:
Co1 0.000 0.000 0.000 (multiplicity 2)
Re1 0.000 0.000 0.339 (multiplicity 2)
Te1 0.000 0.000 0.664 (multiplicity 2)

- Raw formation energy: 1.99 eV per formula unit
- Calculated total energy: -123.658 eV per formula unit
- Total moment: 0.68 μB per atom

Record 3
Density functional theory data (SCAN) for a PBEsol-optimized structure of TiCo3Re.

abc: 4.083 4.083 4.083
angles: 90.00 90.00 90.00
Space group Pm-3m (No. 221)
Asymmetric unit:
Ti1 0.000 0.000 0.000 (multiplicity 1)
Co1 0.000 0.000 0.500 (multiplicity 3)
Re1 0.500 0.500 0.500 (multiplicity 1)

- DFT formation energy: 1450 meV per atom
- Calculated total energy: -131.791 eV per formula unit
- Total moment: 0.92 μB per atom